1.
Below is Ce6Zn5Ir after structural relaxation, with properties calculated at the PBE-GGA level.

Cell and atoms, written as extended XYZ:
```
12
Lattice="7.568 -3.319 0.000 7.568 3.319 0.000 -1.514 0.000 5.127" Properties=species:S:1:pos:R:3 pbc="T T T"
Ce 4.707 1.810 1.127
Ce 7.568 1.818 0.000
Ce 8.915 1.810 4.000
Ce 4.707 -1.810 1.127
Ce 7.568 -1.818 0.000
Ce 8.915 -1.810 4.000
Zn 2.220 0.000 1.527
Zn 4.005 0.000 3.611
Zn 6.811 0.000 2.563
Zn 9.617 0.000 1.516
Zn 11.402 0.000 3.600
Ir -0.757 0.000 2.563
```

Results
ΔE_f = -0.302 eV/atom
symmetry = C2/m
volume = 21.5 Å³/atom

2.
Below is HoInBr4 after structural relaxation, with properties calculated at the PBE-GGA level.

Cell and atoms, written as extended XYZ:
```
6
Lattice="4.228 0.000 0.000 -2.102 6.900 0.000 0.000 -1.851 8.164" Properties=species:S:1:pos:R:3 pbc="T T T"
Ho 0.000 0.000 0.000
In 2.114 -0.925 4.082
Br 0.000 1.047 2.541
Br 0.012 5.135 0.749
Br 2.114 -0.086 7.415
Br 2.126 4.002 5.623
```

Results
symmetry = P-1
volume = 39.7 Å³/atom
ΔE_f (raw) = -1.453 eV per atom

3.
Below is Th5Ge2Pb2 after structural relaxation, with properties calculated at the PBE-GGA level.

Cell and atoms, written as extended XYZ:
```
18
Lattice="7.976 -4.066 0.000 7.976 4.066 0.000 0.000 0.000 8.149" Properties=species:S:1:pos:R:3 pbc="T T T"
Th 0.000 0.000 0.000
Th 5.970 2.621 5.519
Th 5.970 1.445 1.445
Th 9.983 2.621 5.519
Th 9.983 1.445 1.445
Th 7.976 0.000 4.074
Th 5.970 -1.445 6.704
Th 5.970 -2.621 2.629
Th 9.983 -1.445 6.704
Th 9.983 -2.621 2.629
Ge 7.976 3.089 3.088
Ge 7.976 0.977 7.162
Ge 7.976 -0.977 0.986
Ge 7.976 -3.089 5.061
Pb 3.424 0.000 0.000
Pb 4.552 0.000 4.074
Pb 11.400 0.000 4.074
Pb 12.529 0.000 0.000
```

Results
ΔE_f = -0.499 eV/atom
symmetry = Cmce
volume = 29.4 Å³/atom

4.
Below is IrAuSe2 after structural relaxation, with properties calculated at the PBE-GGA level.

Cell and atoms, written as extended XYZ:
```
4
Lattice="-2.003 2.003 4.427 2.003 -2.003 4.427 2.003 2.003 -4.427" Properties=species:S:1:pos:R:3 pbc="T T T"
Ir 0.000 0.000 0.000
Au 0.000 2.003 2.213
Se 2.003 0.000 2.213
Se 0.000 0.000 4.427
```

Results
symmetry = I-4m2
volume = 17.8 Å³/atom
ΔE_f (raw) = 0.638 eV per atom

Number 1: final energy -4.54 eV/atom. Number 2: final energy -3.79 eV/atom. Number 3: final energy -6.47 eV/atom. Number 4: final energy -4.14 eV/atom.